An optimized crystal structure of HoCuAu. Source: Alexandria via LeMat-Bulk, functional GGA-PBE.

space-group type = P-6m2, No. 187
calculated formation energy = -1.69 eV per formula unit
relative energy among the computed polymorphs = 0.0 meV/atom

abc: 3.4099 4.4980 4.4980
angles: 120.00 90.00 90.00
Closest atoms and distances in Å follow each position.
Atoms (fractional coordinates):
Cu 0.1665 0.0000 0.0000  3 Au 2.60
Ho 0.6667 0.6667 0.3333  6 Cu 3.11, 6 Au 3.11, 2 Ho 3.41
Au 0.1668 0.3333 0.6667  3 Cu 2.60

An optimized crystal structure of TcB2N2. Source: Alexandria via LeMat-Bulk, functional GGA-PBE.

ΔE_f (raw) = 0.486 eV per atom
space-group type = I4/mmm, No. 139
relative energy among the computed polymorphs = 370.1 meV/atom

abc: 2.6584 2.6584 10.4205
angles: 82.67 82.67 90.00
Closest atoms and distances in Å follow each position.
Atoms (fractional coordinates):
B 0.2500 0.7500 0.5000  4 N 1.55
B 0.7500 0.2500 0.5000  4 N 1.55
Tc 0.0000 0.0000 0.0000  4 Tc 2.66
N 0.2893 0.2893 0.4214  4 B 1.55
N 0.7107 0.7107 0.5786  4 B 1.55

An optimized crystal structure of RbTa2RhAu. Source: Alexandria via LeMat-Bulk, functional GGA-PBE.

space-group type = P4/mmm, No. 123
calculated formation energy = 15.69 eV per formula unit

abc: 4.7439 5.1189 4.7439
angles: 90.00 90.00 90.00
Closest atoms and distances in Å follow each position.
Atoms (fractional coordinates):
Ta 0.0000 0.0000 0.5000  2 Rb 2.37
Ta 0.5000 0.0000 0.0000  2 Rb 2.37
Rh 0.5000 0.5000 0.5000  4 Au 3.35, 8 Ta 3.49
Rb 0.0000 0.0000 0.0000  4 Ta 2.37, 2 Au 2.56
Au 0.0000 0.5000 0.0000  2 Rb 2.56

An optimized crystal structure of InAgN2O. Source: Alexandria via LeMat-Bulk, functional GGA-PBE.

ΔE_f (raw) = 1.458 eV per atom
space-group type = P4/mmm, No. 123

abc: 4.0641 4.0641 4.2220
angles: 90.00 90.00 90.00
Closest atoms and distances in Å follow each position.
Atoms (fractional coordinates):
N 0.5000 0.0000 0.0000  2 Ag 2.03
N 0.0000 0.5000 0.0000  2 Ag 2.03
Ag 0.0000 0.0000 0.0000  4 N 2.03, 2 O 2.11
O 0.0000 0.0000 0.5000  2 Ag 2.11
In 0.5000 0.5000 0.5000  4 O 2.87, 8 N 2.93

An optimized crystal structure of Na2Li5Br3O2. Source: Alexandria via LeMat-Bulk, functional GGA-PBE.

ΔE_f (raw) = -1.607 eV per atom
space-group type = I4/mmm, No. 139

abc: 4.0639 4.0639 12.0719
angles: 99.69 99.69 90.00
Closest atoms and distances in Å follow each position.
Atoms (fractional coordinates):
Br 0.0000 0.0000 0.0000  12 Li 2.84-2.87
Br 0.8165 0.8165 0.6331  5 Na 2.87-3.11, 4 Li 3.08
Br 0.1835 0.1835 0.3669  5 Na 2.87-3.11, 4 Li 3.08
O 0.4162 0.4162 0.8325  5 Li 1.96-2.03
O 0.5838 0.5838 0.1675  5 Li 1.96-2.03
Li 0.5845 0.0845 0.1689  2 O 2.03
Li 0.4155 0.9155 0.8311  2 O 2.03
Li 0.9155 0.4155 0.8311  2 O 2.03
Li 0.5000 0.5000 0.0000  2 O 1.96
Li 0.0845 0.5845 0.1689  2 O 2.03
Na 0.3163 0.3163 0.6326  1 O 2.34
Na 0.6837 0.6837 0.3674  1 O 2.34

An optimized crystal structure of Co2GeSe. Source: Alexandria via LeMat-Bulk, functional GGA-PBE.

ΔE_f (raw) = 0.187 eV per atom
space-group type = I-42d, No. 122

abc: 5.0967 5.0967 6.6509
angles: 67.47 67.47 90.00
Closest atoms and distances in Å follow each position.
Atoms (fractional coordinates):
Co 0.1165 0.6250 0.2500  2 Se 2.26, 2 Ge 2.30
Co 0.3750 0.3665 0.7500  2 Se 2.26, 2 Ge 2.30
Co 0.8750 0.8835 0.7500  2 Se 2.26, 2 Ge 2.30
Co 0.6335 0.1250 0.2500  2 Se 2.26, 2 Ge 2.30
Ge 0.5000 0.5000 0.0000  4 Co 2.30
Ge 0.2500 0.7500 0.5000  4 Co 2.30
Se 0.0000 0.0000 0.0000  4 Co 2.26
Se 0.7500 0.2500 0.5000  4 Co 2.26

An optimized crystal structure of Zn2TeNF. Source: Alexandria via LeMat-Bulk, functional GGA-PBE.

ΔE_f (raw) = 0.637 eV per atom
space-group type = P4/mmm, No. 123

abc: 4.0230 5.1715 4.0230
angles: 90.00 90.00 90.00
Closest atoms and distances in Å follow each position.
Atoms (fractional coordinates):
Te 0.5000 0.5000 0.5000  4 N 2.84
Zn 0.5000 0.0000 0.0000  2 F 2.01
Zn 0.0000 0.0000 0.5000  2 F 2.01
N 0.0000 0.5000 0.0000  2 F 2.59, 4 Te 2.84
F 0.0000 0.0000 0.0000  4 Zn 2.01

An optimized crystal structure of CaP4Ir. Source: Alexandria via LeMat-Bulk, functional GGA-PBE.

space-group type = F-43m, No. 216
calculated formation energy = 2.09 eV per formula unit

abc: 5.1847 5.1847 5.1847
angles: 60.00 60.00 60.00
Closest atoms and distances in Å follow each position.
Atoms (fractional coordinates):
P 0.9021 0.3660 0.3660  3 P 2.40
P 0.3660 0.9021 0.3660  3 P 2.40
P 0.3660 0.3660 0.3660  3 P 2.40
P 0.3660 0.3660 0.9021  3 P 2.40
Ca 0.7500 0.7500 0.7500  12 P 3.06, 4 Ir 3.17
Ir 0.0000 0.0000 0.0000  12 P 3.02, 4 Ca 3.17

Uncorrected energy list, top to bottom, in Ry/atom: -0.334 -0.558 -0.288 -0.293 -0.284 -0.396 -0.187 -0.373